Record 1
DFT (meta-GGA SCAN) results for a PBEsol-optimized structure of Cs3RbZn.

Energy relative to the elements, eV per atom: 0.4616

Unit cell a=8.6622 b=8.6622 c=8.6622 alpha=90.00 beta=90.00 gamma=90.00
Closest atoms and distances in Å follow each position.
Element x y z (fractional)
Cs (0.0000, 0.5000, 0.0000)  2 Rb 4.33
Cs (0.0000, 0.0000, 0.5000)  2 Rb 4.33
Cs (0.5000, 0.0000, 0.0000)  2 Rb 4.33
Zn (0.5000, 0.5000, 0.5000)  none within 6
Rb (0.0000, 0.0000, 0.0000)  6 Cs 4.33



Record 2
DFT (meta-GGA SCAN) results for a PBEsol-optimized structure of Cs3ReRu.

Energy relative to the elements, eV per atom: 2.2695

Unit cell a=5.7398 b=5.7398 c=5.7398 alpha=90.00 beta=90.00 gamma=90.00
Closest atoms and distances in Å follow each position.
Element x y z (fractional)
Cs (0.0000, 0.5000, 0.0000)  2 Re 2.87
Cs (0.0000, 0.0000, 0.5000)  2 Re 2.87
Cs (0.5000, 0.0000, 0.0000)  2 Re 2.87
Re (0.0000, 0.0000, 0.0000)  6 Cs 2.87
Ru (0.5000, 0.5000, 0.5000)  12 Cs 4.06



Record 3
DFT (meta-GGA SCAN) results for a PBEsol-optimized structure of CsReRu3.

Energy relative to the elements, eV per atom: 1.6655

Unit cell a=4.7675 b=4.7675 c=4.7675 alpha=90.00 beta=90.00 gamma=90.00
Closest atoms and distances in Å follow each position.
Element x y z (fractional)
Cs (0.5000, 0.5000, 0.5000)  12 Ru 3.37
Re (0.0000, 0.0000, 0.0000)  6 Ru 2.38
Ru (0.0000, 0.5000, 0.0000)  2 Re 2.38
Ru (0.0000, 0.0000, 0.5000)  2 Re 2.38
Ru (0.5000, 0.0000, 0.0000)  2 Re 2.38



Record 4
DFT (meta-GGA SCAN) results for a PBEsol-optimized structure of Cs2Re2S5.

Formation energy (no corrections), meV/atom: -908

Unit cell a=12.2802 b=12.2802 c=12.2802 alpha=68.03 beta=68.03 gamma=68.03
Closest atoms and distances in Å follow each position.
Element x y z (fractional)
Cs (0.4676, 0.8525, 0.7210)  7 S 3.33-3.63
Cs (0.1475, 0.2790, 0.5324)  7 S 3.33-3.63
Cs (0.8525, 0.7210, 0.4676)  7 S 3.33-3.63
Cs (0.3525, 0.9676, 0.2210)  7 S 3.33-3.63
Cs (0.0324, 0.7790, 0.6475)  7 S 3.33-3.63
Cs (0.9676, 0.2210, 0.3525)  7 S 3.33-3.63
Cs (0.2210, 0.3525, 0.9676)  7 S 3.33-3.63
Cs (0.2790, 0.5324, 0.1475)  7 S 3.33-3.63
Cs (0.6475, 0.0324, 0.7790)  7 S 3.33-3.63
Cs (0.7790, 0.6475, 0.0324)  7 S 3.33-3.63
Cs (0.5324, 0.1475, 0.2790)  7 S 3.33-3.63
Cs (0.7210, 0.4676, 0.8525)  7 S 3.33-3.63
Re (0.9521, 0.0769, 0.8570)  5 S 2.40-2.44, 4 Re 2.62
Re (0.3570, 0.5769, 0.4521)  5 S 2.40-2.44, 4 Re 2.62
Re (0.9231, 0.1430, 0.0479)  5 S 2.40-2.44, 4 Re 2.62
Re (0.4521, 0.3570, 0.5769)  5 S 2.40-2.44, 4 Re 2.62
Re (0.0769, 0.8570, 0.9521)  5 S 2.40-2.44, 4 Re 2.62
Re (0.8570, 0.9521, 0.0769)  5 S 2.40-2.44, 4 Re 2.62
Re (0.6430, 0.4231, 0.5479)  5 S 2.40-2.44, 4 Re 2.62
Re (0.4231, 0.5479, 0.6430)  5 S 2.40-2.44, 4 Re 2.62
Re (0.5769, 0.4521, 0.3570)  5 S 2.40-2.44, 4 Re 2.62
Re (0.5479, 0.6430, 0.4231)  5 S 2.40-2.44, 4 Re 2.62
Re (0.0479, 0.9231, 0.1430)  5 S 2.40-2.44, 4 Re 2.62
Re (0.1430, 0.0479, 0.9231)  5 S 2.40-2.44, 4 Re 2.62
S (0.6042, 0.6042, 0.6042)  3 Re 2.40
S (0.2546, 0.4831, 0.6578)  3 Re 2.41
S (0.1680, 0.6549, 0.3919)  1 S 2.09
S (0.7454, 0.5169, 0.3422)  3 Re 2.41
S (0.6549, 0.3919, 0.1680)  1 S 2.09
S (0.9831, 0.7546, 0.1578)  3 Re 2.41
S (0.2454, 0.8422, 0.0169)  3 Re 2.41
S (0.4831, 0.6578, 0.2546)  3 Re 2.41
S (0.3919, 0.1680, 0.6549)  1 S 2.09
S (0.1549, 0.6680, 0.8919)  1 S 2.09
S (0.6680, 0.8919, 0.1549)  1 S 2.09
S (0.5169, 0.3422, 0.7454)  3 Re 2.41
S (0.8919, 0.1549, 0.6680)  1 S 2.09
S (0.8320, 0.3451, 0.6081)  1 S 2.09
S (0.1578, 0.9831, 0.7546)  3 Re 2.41
S (0.0169, 0.2454, 0.8422)  3 Re 2.41
S (0.3422, 0.7454, 0.5169)  3 Re 2.41
S (0.3320, 0.1081, 0.8451)  1 S 2.09
S (0.1081, 0.8451, 0.3320)  1 S 2.09
S (0.8958, 0.8958, 0.8958)  3 Re 2.40
S (0.6578, 0.2546, 0.4831)  3 Re 2.41
S (0.1042, 0.1042, 0.1042)  3 Re 2.40
S (0.3451, 0.6081, 0.8320)  1 S 2.09
S (0.8422, 0.0169, 0.2454)  3 Re 2.41
S (0.6081, 0.8320, 0.3451)  1 S 2.09
S (0.8451, 0.3320, 0.1081)  1 S 2.09
S (0.3958, 0.3958, 0.3958)  3 Re 2.40
S (0.2500, 0.2500, 0.2500)  6 Cs 3.33
S (0.7500, 0.7500, 0.7500)  6 Cs 3.33
S (0.7546, 0.1578, 0.9831)  3 Re 2.41